The following is a DFT calculation (PBE) of a relaxed CoNiCl crystal.

```
3
Lattice="2.953 0.000 0.000 -1.476 2.557 0.000 0.000 0.000 5.457" Properties=species:S:1:pos:R:3 pbc="T T T"
Co 0.000 0.000 0.000
Ni 1.476 0.852 1.729
Cl 0.000 1.705 3.656
```

Properties
For the energy above the most stable polymorph in this dataset, the calculation gives 0 meV per atom. As for the formation energy without anion corrections: 1.0 eV per formula unit.


The following is a DFT calculation (PBE) of a relaxed Co2NiCl crystal.

```
4
Lattice="0.000 2.924 2.924 2.924 0.000 2.924 2.924 2.924 0.000" Properties=species:S:1:pos:R:3 pbc="T T T"
Co 1.462 1.462 1.462
Co 4.386 4.386 4.386
Ni 0.000 0.000 0.000
Cl 2.924 2.924 2.924
```

Properties
For the energy above the most stable polymorph in this dataset, the calculation gives 466 meV per atom. As for the formation energy without anion corrections: 2.7 eV per formula unit.


The following is a DFT calculation (PBE) of a relaxed Co2NiCl crystal.

```
4
Lattice="2.067 -2.072 0.000 2.067 2.072 0.000 0.000 0.000 6.177" Properties=species:S:1:pos:R:3 pbc="T T T"
Co 0.000 0.000 0.000
Co 2.067 0.000 1.244
Ni 0.000 0.000 2.598
Cl 2.067 0.000 4.329
```

Properties
For the energy above the most stable polymorph in this dataset, the calculation gives 128 meV per atom. As for the formation energy without anion corrections: 1.4 eV per formula unit.


The following is a DFT calculation (PBE) of a relaxed Co2NiCl crystal.

```
4
Lattice="3.673 -1.414 0.000 3.673 1.414 0.000 -0.419 0.000 6.184" Properties=species:S:1:pos:R:3 pbc="T T T"
Co 0.000 0.000 0.000
Co 5.316 0.000 1.070
Ni 1.643 0.000 5.119
Cl 1.672 0.000 2.907
```

Properties
For the energy above the most stable polymorph in this dataset, the calculation gives 102 meV per atom. As for the formation energy without anion corrections: 1.3 eV per formula unit.